Record 1
SbOs2: optimized geometry, PBE-GGA.

```
SbOs2
1.0
-3.591 11.854 0.300
-8.298 9.076 -1.511
5.089 -10.793 3.335
Sb Os
4 8
Cartesian
-10.994 19.353 -1.119
-3.681 2.796 0.701
-0.896 1.577 -0.091
-5.473 5.951 0.518
-9.005 15.852 -0.917
-1.692 -0.705 0.903
-6.978 12.284 -0.711
-2.885 5.078 -0.294
-1.190 3.944 1.620
-3.257 7.582 1.409
-4.911 8.646 -0.500
-7.462 9.452 0.316
```

Properties
Its total moment is 0.0 μB per formula unit. As for the raw formation energy: 0.729 eV/atom. As for the space group: I4_1/amd.

Record 2
CePu2Al: optimized geometry, PBE-GGA.

```
CePu2Al
1.0
-0.725 0.148 2.998
2.928 -0.647 0.738
6.332 18.285 3.797
Al Pu Ce
2 4 2
Cartesian
8.060 17.226 4.851
3.066 8.482 4.083
2.015 3.689 4.072
0.387 1.551 2.190
7.009 12.433 4.839
5.379 10.296 2.959
4.387 5.782 2.947
5.729 15.322 5.974
```

Properties
Its total moment is 0.3 μB per formula unit. The calculation puts the polymorph energy (0 for the lowest one) at 92 meV/atom. As for the space group: P4mm. The value obtained for the energy relative to the elements is -0.02 eV per atom.

Record 3
UAgAsO6: optimized geometry, PBE-GGA.

```
UAgAsO6
1.0
-1.406 -4.866 -1.800
0.755 0.805 5.261
-9.778 2.444 1.030
Ag O As U
2 12 2 2
Cartesian
0.000 0.000 0.000
-4.889 1.222 0.515
-8.624 0.484 2.044
-1.805 -2.101 2.447
-7.412 -2.836 0.790
-6.766 -1.070 2.723
-1.186 0.506 2.131
-9.228 -1.030 -0.106
-3.588 -1.337 4.345
-3.016 1.219 3.701
-1.200 -0.587 4.596
-9.242 -2.123 2.360
-6.841 -0.280 0.146
-3.662 -0.547 1.767
-8.019 -1.143 1.326
-2.409 -0.474 3.165
-3.130 -2.365 0.811
-7.298 0.748 3.680
```

Properties
Its total moment is 0.0 μB per formula unit. As for the raw formation energy: -1.696 eV/atom. As for the space group: P-31c.

Record 4
CsLiSm2Se4: optimized geometry, PBE-GGA.

```
CsLiSm2Se4
1.0
4.323 0.000 0.000
-2.161 7.340 0.000
0.000 0.000 14.954
Se Sm Cs Li
8 4 2 2
Cartesian
0.000 3.803 1.568
2.161 1.241 3.739
0.000 6.099 11.216
0.000 0.000 0.000
2.161 3.538 13.386
0.000 0.000 7.477
2.161 3.538 9.046
0.000 3.803 5.909
2.161 1.967 0.900
0.000 5.373 14.054
2.161 1.967 6.577
0.000 5.373 8.377
0.000 1.558 11.216
2.161 5.783 3.739
2.161 4.827 11.216
0.000 2.513 3.739
```

Properties
Its total moment is 0.0 μB per formula unit. As for the raw formation energy: -1.707 eV/atom. As for the space group: Cmcm.